No. 1
The following is a PBE-GGA calculation of crystalline MnBeAu2 at its relaxed geometry, from Alexandria.

a = 3.745 Å, b = 3.054 Å, c = 5.538 Å
α = 74.00°, β = 90.00°, γ = 90.00°
Each line ends with the local moment (μB).
Positions (direct):
Mn 0.500 0.705 0.715  3.64
Au 0.500 0.423 0.281  -0.01
Au 0.000 0.077 0.971  0.04
Be 0.000 0.295 0.533  -0.07

Calculated values
E_form	-0.001	eV/atom
volume	60.9	Å³ per cell


No. 2
The following is a PBE-GGA calculation of crystalline Na2BiB at its relaxed geometry, from Alexandria.

a = 5.063 Å, b = 5.063 Å, c = 5.063 Å
α = 60.00°, β = 60.00°, γ = 60.00°
Positions (direct):
Na 0.250 0.250 0.250
Na 0.750 0.750 0.750
Bi 0.500 0.500 0.500
B 0.000 0.000 0.000

Calculated values
E_form	0.749	eV/atom
volume	91.8	Å³ per cell


No. 3
The following is a PBE-GGA calculation of crystalline ZrBeCdFe2 at its relaxed geometry, from Alexandria.

a = 4.600 Å, b = 4.718 Å, c = 4.600 Å
α = 90.00°, β = 90.00°, γ = 90.00°
Each line ends with the local moment (μB).
Positions (direct):
Fe 0.000 0.000 0.500  2.07
Fe 0.500 0.000 0.000  2.08
Be 0.000 0.500 0.000  0.01
Cd 0.500 0.500 0.500  -0.03
Zr 0.000 0.000 0.000  -0.35

Calculated values
E_form	1.430	eV/atom
volume	99.8	Å³ per cell


Among the records above, which one has the highest E_form? ZrBeCdFe2


Which of these has the highest volume? ZrBeCdFe2